VASP calculation (GGA-PBE) on a geometry-optimized Pu2In8Sn structure.

abc: 4.7163 4.7163 13.3604
angles: 90.00 90.00 90.00
Closest atoms and distances in Å follow each position.
Space group P4/mmm (No. 123)
Inequivalent atoms, fractional coordinates:
Pu (0.0000, 0.0000, 0.1741) (multiplicity 2)  12 In 3.26-3.34
In (0.0000, 0.5000, 0.0000) (multiplicity 2)  8 In 3.26-3.33, 4 Pu 3.31
In (0.0000, 0.5000, 0.3429) (multiplicity 4)  2 Sn 3.16, 2 Pu 3.26, 6 In 3.32-3.33
In (0.5000, 0.5000, 0.1680) (multiplicity 2)  8 In 3.26-3.32, 4 Pu 3.34
Sn (0.0000, 0.0000, 0.5000) (multiplicity 1)  8 In 3.16

Computed properties:
The value obtained for the energy is -55.66 eV/cell. The calculation puts the density of states at the Fermi level at 24.0 states/eV per cell.